No. 1
Density functional theory data (PBEsol) for a relaxed ZnMo2As crystal.

Computed properties:
The value obtained for the calculated volume is 14.9 Å³ per atom. The calculation puts the uncorrected energy at -7.323 eV/atom. As for the relative energy among the computed polymorphs: 0.050 eV/atom.

a b c (Å): 3.2163 4.1623 4.4567
angles (deg): 90.00 90.00 90.00
With the nearest neighbours (Å) after each atom.
Space group Pmmm (No. 47)
One atom of each set of equivalent atoms:
Zn1 0.0000 0.0000 0.0000 [1 per cell]  4 Mo 2.63, 4 As 2.75
Mo1 0.0000 0.5000 0.5000 [1 per cell]  4 As 2.63, 4 Mo 2.75
Mo2 0.5000 0.5000 0.0000 [1 per cell]  4 Zn 2.63, 4 Mo 2.75
As1 0.5000 0.0000 0.5000 [1 per cell]  4 Mo 2.63, 4 Zn 2.75



No. 2
Density functional theory data (PBEsol) for a relaxed BaCrAs2Se crystal.

Computed properties:
As for the formation energy without anion corrections: 130 kJ per mole of atoms. The value obtained for the calculated volume is 37.3 Å³ per atom. The calculation puts the uncorrected energy at -3.942 eV/atom.

a b c (Å): 5.6713 5.6713 5.7986
angles (deg): 90.00 90.00 90.00
With the nearest neighbours (Å) after each atom.
Space group P4/mmm (No. 123)
One atom of each set of equivalent atoms:
Ba1 0.0000 0.0000 0.0000 [1 per cell]  4 As 2.84, 2 Se 2.90
Cr1 0.5000 0.5000 0.5000 [1 per cell]  4 Se 4.01, 8 As 4.06
As1 0.0000 0.5000 0.0000 [2 per cell]  2 Ba 2.84
Se1 0.0000 0.0000 0.5000 [1 per cell]  2 Ba 2.90



No. 3
Density functional theory data (PBEsol) for a relaxed Li2IrW crystal.

Computed properties:
The value obtained for the calculated volume is 14.3 Å³ per atom. The calculation puts the uncorrected energy at -6.693 eV/atom.

a b c (Å): 2.6534 2.6534 28.0519
angles (deg): 90.00 90.00 120.00
With the nearest neighbours (Å) after each atom.
Space group R-3m (No. 166, hexagonal axes)
One atom of each set of equivalent atoms:
Li1 0.0000 0.0000 0.2439 [6 per cell]  3 Ir 2.65, 6 Li 2.65, 3 W 2.94
Ir1 0.0000 0.0000 0.5000 [3 per cell]  6 Li 2.65, 6 Ir 2.65
W1 0.0000 0.0000 0.0000 [3 per cell]  6 W 2.65, 6 Li 2.94



No. 4
Density functional theory data (PBEsol) for a relaxed Sc3PbSe crystal.

Computed properties:
As for the formation energy without anion corrections: -60 kJ per mole of atoms. The value obtained for the calculated volume is 24.1 Å³ per atom. The calculation puts the uncorrected energy at -6.153 eV/atom.

a b c (Å): 4.9368 4.9368 4.9368
angles (deg): 90.00 90.00 90.00
With the nearest neighbours (Å) after each atom.
Space group Pm-3m (No. 221)
One atom of each set of equivalent atoms:
Sc1 0.0000 0.0000 0.5000 [3 per cell]  2 Se 2.47
Pb1 0.5000 0.5000 0.5000 [1 per cell]  12 Sc 3.49
Se1 0.0000 0.0000 0.0000 [1 per cell]  6 Sc 2.47



No. 5
Density functional theory data (PBEsol) for a relaxed MoPt2 crystal.

Computed properties:
The value obtained for the calculated volume is 14.9 Å³ per atom. The calculation puts the uncorrected energy at -8.880 eV/atom. As for the relative energy among the computed polymorphs: 0.084 eV/atom.

a b c (Å): 10.2396 2.7457 6.5854
angles (deg): 90.00 104.89 90.00
With the nearest neighbours (Å) after each atom.
Space group C2/m (No. 12)
One atom of each set of equivalent atoms:
Mo1 0.0253 0.0000 0.3046 [4 per cell]  9 Pt 2.69-2.87, 3 Mo 2.75
Pt1 0.1358 0.5000 0.0313 [4 per cell]  8 Pt 2.70-2.84, 4 Mo 2.73-2.76
Pt2 0.1864 0.5000 0.6304 [4 per cell]  5 Mo 2.69-2.87, 7 Pt 2.75-2.84



No. 6
Density functional theory data (PBEsol) for a relaxed NaSr2Tl2 crystal.

Computed properties:
The value obtained for the calculated volume is 34.4 Å³ per atom. The calculation puts the uncorrected energy at -2.391 eV/atom.

a b c (Å): 8.9768 8.9768 4.2712
angles (deg): 90.00 90.00 90.00
With the nearest neighbours (Å) after each atom.
Space group P4/mbm (No. 127)
One atom of each set of equivalent atoms:
Na1 0.0000 0.0000 0.0000 [2 per cell]  4 Tl 3.51
Sr1 0.1651 0.3349 0.5000 [4 per cell]  6 Tl 3.35-3.42
Tl1 0.1312 0.6312 0.0000 [4 per cell]  1 Tl 3.33, 6 Sr 3.35-3.42, 2 Na 3.51



No. 7
Density functional theory data (PBEsol) for a relaxed BaCaIn3 crystal.

Computed properties:
The value obtained for the calculated volume is 43.7 Å³ per atom. The calculation puts the uncorrected energy at -2.032 eV/atom.

a b c (Å): 6.0250 6.0250 6.0250
angles (deg): 90.00 90.00 90.00
With the nearest neighbours (Å) after each atom.
Space group Pm-3m (No. 221)
One atom of each set of equivalent atoms:
Ba1 0.0000 0.0000 0.0000 [1 per cell]  6 In 3.01
Ca1 0.5000 0.5000 0.5000 [1 per cell]  12 In 4.26
In1 0.0000 0.0000 0.5000 [3 per cell]  2 Ba 3.01



No. 8
Density functional theory data (PBEsol) for a relaxed Be2GeF crystal.

Computed properties:
As for the formation energy without anion corrections: -44 kJ per mole of atoms. The value obtained for the calculated volume is 12.0 Å³ per atom. The calculation puts the uncorrected energy at -4.169 eV/atom.

a b c (Å): 4.3412 4.3412 10.1672
angles (deg): 90.00 90.00 90.00
With the nearest neighbours (Å) after each atom.
Space group I-42d (No. 122)
One atom of each set of equivalent atoms:
Be1 0.1216 0.2500 0.1250 [8 per cell]  2 F 1.75
Ge1 0.0000 0.0000 0.5000 [4 per cell]  4 Be 2.34
F1 0.0000 0.0000 0.0000 [4 per cell]  4 Be 1.75



No. 9
Density functional theory data (PBEsol) for a relaxed AlFeS2N crystal.

Computed properties:
As for the formation energy without anion corrections: 48 kJ per mole of atoms. The value obtained for the calculated volume is 15.5 Å³ per atom. The calculation puts the uncorrected energy at -5.572 eV/atom.

a b c (Å): 4.6761 4.6761 3.5509
angles (deg): 90.00 90.00 90.00
With the nearest neighbours (Å) after each atom.
Space group P4/mmm (No. 123)
One atom of each set of equivalent atoms:
Al1 0.0000 0.0000 0.0000 [1 per cell]  2 N 1.78
Fe1 0.5000 0.5000 0.5000 [1 per cell]  8 S 2.94
S1 0.0000 0.5000 0.0000 [2 per cell]  2 Al 2.34
N1 0.0000 0.0000 0.5000 [1 per cell]  2 Al 1.78



No. 10
Density functional theory data (PBEsol) for a relaxed Ba2CuAs crystal.

Computed properties:
The value obtained for the calculated volume is 30.7 Å³ per atom. The calculation puts the uncorrected energy at -3.990 eV/atom.

a b c (Å): 4.4268 4.5845 12.0828
angles (deg): 90.00 90.00 90.00
With the nearest neighbours (Å) after each atom.
Space group Amm2 (No. 38)
One atom of each set of equivalent atoms:
Ba1 0.0000 0.0000 0.0000 [2 per cell]  3 As 3.35-3.60, 4 Cu 3.35
Ba2 0.5000 0.0000 0.2764 [2 per cell]  2 Cu 3.25, 4 As 3.31
Cu1 0.5000 0.0000 0.5861 [2 per cell]  2 As 2.62
As1 0.0000 0.0000 0.7017 [2 per cell]  2 Cu 2.62



No. 11
Density functional theory data (PBEsol) for a relaxed ErSi crystal.

Computed properties:
As for the formation energy without anion corrections: -86 kJ per mole of atoms. The value obtained for the calculated volume is 20.3 Å³ per atom. The calculation puts the uncorrected energy at -6.231 eV/atom.

a b c (Å): 4.1808 10.3314 3.7612
angles (deg): 90.00 90.00 90.00
With the nearest neighbours (Å) after each atom.
Space group Cmcm (No. 63)
One atom of each set of equivalent atoms:
Er1 0.0000 0.1406 0.2500 [4 per cell]  7 Si 2.89-3.07
Si1 0.0000 0.4226 0.2500 [4 per cell]  2 Si 2.47



No. 12
Density functional theory data (PBEsol) for a relaxed TlAs2Os crystal.

Computed properties:
The value obtained for the calculated volume is 17.9 Å³ per atom. The calculation puts the uncorrected energy at -5.417 eV/atom. As for the relative energy among the computed polymorphs: 0.696 eV/atom.

a b c (Å): 4.2662 4.2662 7.8628
angles (deg): 90.00 90.00 90.00
With the nearest neighbours (Å) after each atom.
Space group I-4m2 (No. 119)
One atom of each set of equivalent atoms:
Tl1 0.0000 0.0000 0.0000 [2 per cell]  8 As 2.90-3.02, 4 Os 2.90
As1 0.0000 0.0000 0.5000 [2 per cell]  4 Os 2.90, 4 As 2.90, 4 Tl 3.02
As2 0.0000 0.5000 0.2500 [2 per cell]  4 Tl 2.90, 4 As 2.90, 4 Os 3.02
Os1 0.0000 0.5000 0.7500 [2 per cell]  4 Tl 2.90, 8 As 2.90-3.02